## DyHfH2 (PBE-GGA)

Data for a geometry-optimized DyHfH2 structure.

Cell: 5.8363 5.8363 5.8363 Å, 33.05 33.05 33.05°
Atoms (fractional coordinates):
Dy1 0.0000 0.0000 0.0000
Hf1 0.5000 0.5000 0.5000
H1 0.2308 0.2308 0.2308
H2 0.7692 0.7692 0.7692

Values from the calculation:
total DFT energy (no corrections)	-5.56	eV/atom


## Nd2HgOs (PBE-GGA)

Data for a geometry-optimized Nd2HgOs structure.

Cell: 3.5468 3.5468 8.0045 Å, 90.00 90.00 90.00°
Atoms (fractional coordinates):
Nd1 0.0000 0.0000 0.2168
Nd2 0.0000 0.0000 0.7832
Hg1 0.5000 0.5000 0.5000
Os1 0.5000 0.5000 0.0000

Values from the calculation:
total DFT energy (no corrections)	-5.48	eV/atom
energy relative to the lowest polymorph listed for this composition	0.000	eV per atom
formation energy	-4.806	kcal/mol of atoms


## Pr5Y4Hg (PBE-GGA)

Data for a geometry-optimized Pr5Y4Hg structure.

Cell: 3.6887 3.6887 24.4572 Å, 90.00 90.00 90.00°
Atoms (fractional coordinates):
Pr1 0.0000 0.0000 0.0000
Pr2 0.0000 0.0000 0.2064
Pr3 0.0000 0.0000 0.4148
Pr4 0.0000 0.0000 0.5851
Pr5 0.0000 0.0000 0.7936
Y1 0.5000 0.5000 0.1033
Y2 0.5000 0.5000 0.3098
Y3 0.5000 0.5000 0.6902
Y4 0.5000 0.5000 0.8967
Hg1 0.5000 0.5000 0.5000

Values from the calculation:
total DFT energy (no corrections)	-5.08	eV/atom
formation energy	-1.710	kcal/mol of atoms


## Ba2AgPt (PBE-GGA)

Data for a geometry-optimized Ba2AgPt structure.

Cell: 7.3518 7.3518 7.3518 Å, 108.56 108.56 111.30°
Atoms (fractional coordinates):
Ba1 0.0953 0.1250 0.4703
Ba2 0.3750 0.9047 0.0297
Ba3 0.6547 0.6250 0.5297
Ba4 0.8750 0.3453 0.9703
Ag1 0.2500 0.7500 0.5000
Ag2 0.5000 0.5000 0.0000
Pt1 0.0000 0.0000 0.0000
Pt2 0.7500 0.2500 0.5000

Values from the calculation:
total DFT energy (no corrections)	-3.43	eV/atom
formation energy	-5.595	kcal/mol of atoms


## La5Sb4 (PBE-GGA)

Data for a geometry-optimized La5Sb4 structure.

Cell: 8.0856 8.0856 8.0856 Å, 95.88 95.88 142.67°
Atoms (fractional coordinates):
La1 0.0000 0.0000 0.0000
La2 0.3209 0.3209 0.6418
La3 0.3209 0.6791 0.0000
La4 0.6791 0.3209 0.0000
La5 0.6791 0.6791 0.3582
Sb1 0.0000 0.2939 0.2939
Sb2 0.0000 0.7061 0.7061
Sb3 0.2939 0.0000 0.2939
Sb4 0.7061 0.0000 0.7061

Values from the calculation:
total DFT energy (no corrections)	-5.28	eV/atom
formation energy without anion corrections	-0.707	eV/atom


## Tl6BiPb3 (PBE-GGA)

Data for a geometry-optimized Tl6BiPb3 structure.

Cell: 5.3794 10.6528 12.9116 Å, 90.00 114.51 90.00°
Atoms (fractional coordinates):
Tl1 0.0728 0.1915 0.0747
Tl2 0.0728 0.3085 0.5747
Tl3 0.2406 0.5734 0.7449
Tl4 0.2406 0.9266 0.2449
Tl5 0.4192 0.1902 0.4212
Tl6 0.4192 0.3098 0.9212
Tl7 0.5808 0.6902 0.0788
Tl8 0.5808 0.8098 0.5788
Tl9 0.7594 0.0734 0.7551
Tl10 0.7594 0.4266 0.2551
Tl11 0.9272 0.6915 0.4253
Tl12 0.9272 0.8085 0.9253
Bi1 0.5000 0.0000 0.0000
Bi2 0.5000 0.5000 0.5000
Pb1 0.0000 0.0000 0.5000
Pb2 0.0000 0.5000 0.0000
Pb3 0.2529 0.6260 0.2491
Pb4 0.2529 0.8740 0.7491
Pb5 0.7471 0.1260 0.2509
Pb6 0.7471 0.3740 0.7509

Values from the calculation:
total DFT energy (no corrections)	-2.87	eV/atom
energy relative to the lowest polymorph listed for this composition	0.027	eV per atom
formation energy	1.102	kcal/mol of atoms


## Y2Zn12CuNi3 (PBE-GGA)

Data for a geometry-optimized Y2Zn12CuNi3 structure.

Cell: 6.6086 6.6086 6.6086 Å, 84.59 84.59 84.59°
Atoms (fractional coordinates):
Y1 0.2386 0.2386 0.2386
Y2 0.7614 0.7614 0.7614
Zn1 0.1610 0.5671 0.5671
Zn2 0.1947 0.1947 0.7260
Zn3 0.1947 0.7260 0.1947
Zn4 0.2740 0.8053 0.8053
Zn5 0.4329 0.4329 0.8390
Zn6 0.4329 0.8390 0.4329
Zn7 0.5671 0.1610 0.5671
Zn8 0.5671 0.5671 0.1610
Zn9 0.7260 0.1947 0.1947
Zn10 0.8053 0.2740 0.8053
Zn11 0.8053 0.8053 0.2740
Zn12 0.8390 0.4329 0.4329
Cu1 0.0000 0.0000 0.0000
Ni1 0.0000 0.0000 0.5000
Ni2 0.0000 0.5000 0.0000
Ni3 0.5000 0.0000 0.0000

Values from the calculation:
total DFT energy (no corrections)	-2.84	eV/atom
formation energy	-1.860	kcal/mol of atoms


## Rb2BaUF8 (PBE-GGA)

Data for a geometry-optimized Rb2BaUF8 structure.

Cell: 7.4199 7.4199 7.4199 Å, 129.95 129.95 73.49°
Atoms (fractional coordinates):
Rb1 0.0000 0.0000 0.0000
Rb2 0.7500 0.2500 0.5000
Ba1 0.5000 0.5000 0.0000
U1 0.2500 0.7500 0.5000
F1 0.1570 0.0830 0.5135
F2 0.1570 0.6435 0.0740
F3 0.3565 0.4305 0.5135
F4 0.3565 0.8430 0.9260
F5 0.5695 0.0830 0.9260
F6 0.5695 0.6435 0.4865
F7 0.9170 0.4305 0.0740
F8 0.9170 0.8430 0.4865

Values from the calculation:
total DFT energy (no corrections)	-5.95	eV/atom
formation energy without anion corrections	-3.445	eV/atom


## KLiCr2 (PBE-GGA)

Data for a geometry-optimized KLiCr2 structure.

Cell: 5.3019 5.3019 5.3019 Å, 60.00 60.00 60.00°
Atoms (fractional coordinates):
K1 0.0000 0.0000 0.0000
Li1 0.2500 0.2500 0.2500
Cr1 0.5000 0.5000 0.5000
Cr2 0.7500 0.7500 0.7500

Values from the calculation:
total DFT energy (no corrections)	-4.41	eV/atom
energy relative to the lowest polymorph listed for this composition	0.540	eV per atom
formation energy	26.658	kcal/mol of atoms


## YZrCoIr (PBE-GGA)

Data for a geometry-optimized YZrCoIr structure.

Cell: 4.7183 4.7183 4.7183 Å, 60.00 60.00 60.00°
Atoms (fractional coordinates):
Y1 0.0000 0.0000 0.0000
Zr1 0.5000 0.5000 0.5000
Co1 0.7500 0.7500 0.7500
Ir1 0.2500 0.2500 0.2500

Values from the calculation:
total DFT energy (no corrections)	-8.23	eV/atom
formation energy	-11.220	kcal/mol of atoms


## ZrTa2As (PBE-GGA)

Data for a geometry-optimized ZrTa2As structure.

Cell: 5.3405 5.3405 5.3405 Å, 141.11 127.67 67.08°
Atoms (fractional coordinates):
Zr1 0.0000 0.0000 0.0000
Ta1 0.4964 0.4964 0.0000
Ta2 0.7410 0.2410 0.5000
As1 0.2574 0.7574 0.5000

Values from the calculation:
total DFT energy (no corrections)	-9.36	eV/atom
formation energy	-2.996	kcal/mol of atoms


## HoEr5Bi6 (PBE-GGA)

Data for a geometry-optimized HoEr5Bi6 structure.

Cell: 7.7007 7.7007 7.6992 Å, 99.60 99.60 119.99°
Atoms (fractional coordinates):
Ho1 0.0000 0.0000 0.0000
Er1 0.1662 0.8338 0.5000
Er2 0.3331 0.6669 0.0000
Er3 0.5000 0.5000 0.5000
Er4 0.6669 0.3331 0.0000
Er5 0.8338 0.1662 0.5000
Bi1 0.0836 0.4175 0.2505
Bi2 0.2508 0.2508 0.7500
Bi3 0.4175 0.0836 0.2505
Bi4 0.5825 0.9164 0.7495
Bi5 0.7492 0.7492 0.2500
Bi6 0.9164 0.5825 0.7495

Values from the calculation:
total DFT energy (no corrections)	-5.04	eV/atom
formation energy	-18.831	kcal/mol of atoms